Material: Cr6Rh5
Method: DFT, PBE-GGA
State: optimized geometry

Unit cell a=4.339 b=5.556 c=6.461 alpha=89.93 beta=81.43 gamma=89.95
Space group P-1 (No. 2)
One atom of each set of equivalent atoms:
Cr 0.001 0.237 0.000 x2
Cr 0.290 0.238 0.294 x2
Cr 0.290 0.763 0.293 x2
Rh 0.221 0.500 0.644 x2
Rh 0.226 0.000 0.648 x2
Rh 0.500 0.500 0.000 x1

Results
- Theoretical density: 8.9 g/cm³
- Electronic total energy: -8.45 eV/atom
- ΔE_f: 1.60 eV/f.u.

Material: KSe
Method: DFT, PBE-GGA
State: optimized geometry

Unit cell a=5.6484 b=5.6484 c=17.8282 alpha=90.00 beta=90.00 gamma=120.00
Space group R-3m (No. 166, hexagonal axes)
One atom of each set of equivalent atoms:
K 0.0000 0.0000 0.2444 x6
Se 0.0000 0.0000 0.4320 x6

Results
- Theoretical density: 2.4 g/cm³
- Electronic total energy: -3.15 eV/atom
- Energy relative to the elements, uncorrected: -0.8588 eV per atom

Material: SmDyZr
Method: DFT, PBE-GGA
State: optimized geometry

Unit cell a=3.409 b=3.409 c=14.905 alpha=90.00 beta=90.00 gamma=90.00
Space group I4mm (No. 107)
One atom of each set of equivalent atoms:
Sm 0.000 0.000 0.000 x2
Dy 0.000 0.000 0.688 x2
Zr 0.000 0.000 0.341 x2

Results
- Theoretical density: 7.7 g/cm³
- E above lowest polymorph: 0 meV/atom
- Electronic total energy: -5.86 eV/atom
- ΔE_f: 0.28 eV/f.u.

Material: La2ErCo
Method: DFT, PBE-GGA
State: optimized geometry

Unit cell a=7.089 b=10.075 c=6.275 alpha=90.00 beta=90.00 gamma=90.00
Space group Pnma (No. 62)
One atom of each set of equivalent atoms:
La 0.169 0.072 0.177 x8
Er 0.046 0.250 0.663 x4
Co 0.118 0.750 0.940 x4

Results
- Theoretical density: 7.5 g/cm³
- E above lowest polymorph: 0 meV/atom
- Electronic total energy: -5.49 eV/atom
- ΔE_f: -0.43 eV/f.u.